! DyV2CuO8, optimized geometry, DFT PBE with a Hubbard U; values from VASP
&SYSTEM
  ibrav = 0, nat = 12, ntyp = 4
/
ATOMIC_SPECIES
Dy 162.50 Dy.upf
V 50.94 V.upf
Cu 63.55 Cu.upf
O 16.00 O.upf
CELL_PARAMETERS angstrom
5.774 0.000 0.000
-2.887 5.000 0.000
0.000 0.000 5.803
ATOMIC_POSITIONS crystal
Dy 0.000 0.000 0.000
V 0.333 0.667 0.637
V 0.667 0.333 0.363
Cu 0.000 0.000 0.500
O 0.161 0.321 0.725
O 0.161 0.839 0.725
O 0.321 0.161 0.275
O 0.333 0.667 0.356
O 0.667 0.333 0.644
O 0.679 0.839 0.725
O 0.839 0.161 0.275
O 0.839 0.679 0.275
! Calculated total energy (Ry/atom): -0.52103